A plane-wave DFT calculation with GGA-PBE was carried out for a relaxed structure of PaGa4Ni15.

Calculated values
Energy of formation from the pure elements in meV/atom: -317
Volume in A^3/atom: 12.07

a b c (Å): 3.694 3.694 17.699
angles (deg): 90.00 90.00 90.00
Element x y z (fractional)
1 Pa 0.000 0.000 0.000
2 Ga 0.000 0.000 0.210
3 Ga 0.000 0.000 0.403
4 Ga 0.000 0.000 0.597
5 Ga 0.000 0.000 0.790
6 Ni 0.000 0.500 0.109
7 Ni 0.000 0.500 0.306
8 Ni 0.000 0.500 0.500
9 Ni 0.000 0.500 0.694
10 Ni 0.000 0.500 0.891
11 Ni 0.500 0.000 0.109
12 Ni 0.500 0.000 0.306
13 Ni 0.500 0.000 0.500
14 Ni 0.500 0.000 0.694
15 Ni 0.500 0.000 0.891
16 Ni 0.500 0.500 0.000
17 Ni 0.500 0.500 0.209
18 Ni 0.500 0.500 0.403
19 Ni 0.500 0.500 0.597
20 Ni 0.500 0.500 0.791



A plane-wave DFT calculation with GGA-PBE was carried out for a relaxed structure of Mg2AgHgSe.

Calculated values
Volume in A^3/atom: 29.44
VASP energy in eV/atom: -1.54

a b c (Å): 5.271 5.271 5.297
angles (deg): 90.00 90.00 90.00
Element x y z (fractional)
1 Mg 0.000 0.500 0.000
2 Mg 0.500 0.000 0.000
3 Ag 0.000 0.000 0.500
4 Hg 0.500 0.500 0.000
5 Se 0.500 0.500 0.500



Question: What is the formula in the second record?
Answer: Mg2AgHgSe



Question: Look up the volume of the second one.
Answer: 29.44 A^3/atom



Question: Look up the volume of the second one.
Answer: 29.44 A^3/atom